1.
This record from Alexandria describes a relaxed structure of NbSbPdS2. The functional is PBE-GGA.

```
data_NbSbPdS2
_chemical_formula_sum 'Nb1 Sb1 Pd1 S2'
_space_group_name_H-M_alt 'P 1'
_space_group_IT_number 1
_space_group_name_Hall 'P 1'
_cell_length_a 4.932
_cell_length_b 5.310
_cell_length_c 4.932
_cell_angle_alpha 90.00
_cell_angle_beta 90.00
_cell_angle_gamma 90.00
loop_
_atom_site_label
_atom_site_fract_x
_atom_site_fract_y
_atom_site_fract_z
S1 0.500 0.000 0.000
Pd1 0.500 0.500 0.500
Nb1 0.000 0.500 0.000
Sb1 0.000 0.000 0.000
S2 0.000 0.000 0.500
```

For the theoretical density, the calculation gives 5.0 g cm⁻³. As for the space group: P4/mmm. Its formation energy from raw total energies is 1.242 eV/atom. The energy comes out at -4.29 eV/atom. The density of states at the Fermi level is 4.4 states/eV/cell. The calculation puts the volume at 25.8 Å³ per atom.



2.
This record from Alexandria describes a relaxed structure of SrNbPdS2. The functional is PBE-GGA.

```
data_SrNbPdS2
_chemical_formula_sum 'Sr1 Nb1 Pd1 S2'
_space_group_name_H-M_alt 'P 1'
_space_group_IT_number 1
_space_group_name_Hall 'P 1'
_cell_length_a 5.346
_cell_length_b 5.889
_cell_length_c 5.346
_cell_angle_alpha 90.00
_cell_angle_beta 90.00
_cell_angle_gamma 90.00
loop_
_atom_site_label
_atom_site_fract_x
_atom_site_fract_y
_atom_site_fract_z
S1 0.500 0.000 0.000
Pd1 0.500 0.500 0.500
Nb1 0.000 0.500 0.000
Sr1 0.000 0.000 0.000
S2 0.000 0.000 0.500
```

For the theoretical density, the calculation gives 3.5 g cm⁻³. As for the space group: P4/mmm. Its formation energy from raw total energies is 1.416 eV/atom. The energy comes out at -3.62 eV/atom. The density of states at the Fermi level is 5.6 states/eV/cell. The calculation puts the volume at 33.7 Å³ per atom.



3.
This record from Alexandria describes a relaxed structure of TaNbPdS4. The functional is PBE-GGA.

```
data_TaNbPdS4
_chemical_formula_sum 'Ta2 Nb2 Pd2 S8'
_space_group_name_H-M_alt 'P 1'
_space_group_IT_number 1
_space_group_name_Hall 'P 1'
_cell_length_a 7.256
_cell_length_b 7.245
_cell_length_c 7.245
_cell_angle_alpha 59.91
_cell_angle_beta 59.95
_cell_angle_gamma 59.95
loop_
_atom_site_label
_atom_site_fract_x
_atom_site_fract_y
_atom_site_fract_z
S1 0.246 0.240 0.268
Ta1 0.500 0.000 0.500
S2 0.754 0.232 0.260
Pd1 0.624 0.626 0.126
S3 0.753 0.758 0.258
S4 0.247 0.242 0.742
Nb1 0.000 0.000 0.000
Pd2 0.376 0.374 0.874
S5 0.754 0.760 0.732
Nb2 0.000 0.500 0.500
S6 0.232 0.758 0.258
S7 0.768 0.242 0.742
S8 0.246 0.768 0.740
Ta2 0.000 0.000 0.500
```

For the theoretical density, the calculation gives 6.3 g cm⁻³. As for the space group: Imma. Its formation energy from raw total energies is -0.786 eV/atom. The energy comes out at -7.02 eV/atom. The density of states at the Fermi level is 8.9 states/eV/cell. The calculation puts the volume at 19.2 Å³ per atom.



4.
This record from Alexandria describes a relaxed structure of NbVPd2S. The functional is PBE-GGA.

```
data_NbVPd2S
_chemical_formula_sum 'Nb1 V1 Pd2 S1'
_space_group_name_H-M_alt 'P 1'
_space_group_IT_number 1
_space_group_name_Hall 'P 1'
_cell_length_a 4.629
_cell_length_b 4.294
_cell_length_c 4.629
_cell_angle_alpha 90.00
_cell_angle_beta 90.00
_cell_angle_gamma 90.00
loop_
_atom_site_label
_atom_site_fract_x
_atom_site_fract_y
_atom_site_fract_z
Pd1 0.000 0.000 0.500
V1 0.000 0.000 0.000
S1 0.000 0.500 0.000
Nb1 0.500 0.500 0.500
Pd2 0.500 0.000 0.000
```

For the theoretical density, the calculation gives 7.0 g cm⁻³. As for the space group: P4/mmm. Its formation energy from raw total energies is 0.576 eV/atom. The energy comes out at -6.16 eV/atom. The density of states at the Fermi level is 6.6 states/eV/cell. The calculation puts the volume at 18.4 Å³ per atom.



5.
This record from Alexandria describes a relaxed structure of Nb2Sb2Pd. The functional is PBE-GGA.

```
data_Nb2Sb2Pd
_chemical_formula_sum 'Nb4 Sb4 Pd2'
_space_group_name_H-M_alt 'P 1'
_space_group_IT_number 1
_space_group_name_Hall 'P 1'
_cell_length_a 7.511
_cell_length_b 7.511
_cell_length_c 3.589
_cell_angle_alpha 90.00
_cell_angle_beta 90.00
_cell_angle_gamma 90.00
loop_
_atom_site_label
_atom_site_fract_x
_atom_site_fract_y
_atom_site_fract_z
Nb1 0.139 0.639 0.500
Sb1 0.156 0.344 0.000
Pd1 0.500 0.500 0.000
Sb2 0.844 0.656 0.000
Nb2 0.861 0.361 0.500
Sb3 0.344 0.844 0.000
Pd2 0.000 0.000 0.000
Nb3 0.639 0.861 0.500
Sb4 0.656 0.156 0.000
Nb4 0.361 0.139 0.500
```

For the theoretical density, the calculation gives 8.8 g cm⁻³. As for the space group: P4/mbm. Its formation energy from raw total energies is -0.058 eV/atom. The energy comes out at -6.77 eV/atom. The density of states at the Fermi level is 4.5 states/eV/cell. The calculation puts the volume at 20.2 Å³ per atom.



6.
This record from Alexandria describes a relaxed structure of NbSb2Pd. The functional is PBE-GGA.

```
data_NbSb2Pd
_chemical_formula_sum 'Nb1 Sb2 Pd1'
_space_group_name_H-M_alt 'P 1'
_space_group_IT_number 1
_space_group_name_Hall 'P 1'
_cell_length_a 3.195
_cell_length_b 3.195
_cell_length_c 10.022
_cell_angle_alpha 80.83
_cell_angle_beta 80.83
_cell_angle_gamma 60.00
loop_
_atom_site_label
_atom_site_fract_x
_atom_site_fract_y
_atom_site_fract_z
Sb1 0.095 0.095 0.715
Sb2 0.905 0.905 0.285
Nb1 0.000 0.000 0.000
Pd1 0.500 0.500 0.500
```

For the theoretical density, the calculation gives 8.4 g cm⁻³. As for the space group: R-3m. Its formation energy from raw total energies is 0.247 eV/atom. The energy comes out at -5.63 eV/atom. The density of states at the Fermi level is 3.3 states/eV/cell. The calculation puts the volume at 21.8 Å³ per atom.